[1]
The following is a DFT calculation (PBE) of an optimized crystal structure of Cs3TbTh2Te6.

a = 7.867 Å, b = 13.623 Å, c = 9.449 Å
α = 90.00°, β = 106.11°, γ = 90.00°
Space group C2/m (No. 12)
Symmetry-distinct sites (fractional):
Cs 0.000 0.000 0.000 x2
Cs 0.000 0.332 0.000 x4
Tb 0.000 0.500 0.500 x2
Th 0.000 0.166 0.500 x4
Te 0.230 0.335 0.697 x8
Te 0.236 0.000 0.698 x4

Properties
- Formation energy (no corrections): -1.239 eV/atom
- Fermi-level density of states: 0.6034 states/eV/atom
- Size of the total moment: 0.00 μB per formula unit

=====

[2]
The following is a DFT calculation (PBE) of an optimized crystal structure of TiMn2In2.

a = 7.450 Å, b = 7.450 Å, c = 2.984 Å
α = 90.00°, β = 90.00°, γ = 90.00°
Space group P4/mbm (No. 127)
Symmetry-distinct sites (fractional):
Ti 0.000 0.000 0.000 x2
Mn 0.156 0.344 0.500 x4
In 0.143 0.643 0.000 x4

Properties
- Fermi-level density of states: 1.5562 states/eV/atom
- ΔE to the lowest computed polymorph: 269 meV/atom
- Formation enthalpy at 0 K: 2.6 eV/f.u.
- Size of the total moment: 0.00 μB per formula unit

=====

[3]
The following is a DFT calculation (PBE) of an optimized crystal structure of NaYHf.

a = 4.671 Å, b = 4.671 Å, c = 8.201 Å
α = 90.00°, β = 90.00°, γ = 90.00°
Space group P4/nmm (No. 129, origin choice 2)
Symmetry-distinct sites (fractional):
Na 0.250 0.250 0.170 x2
Y 0.250 0.750 0.500 x2
Hf 0.250 0.250 0.782 x2

Properties
- Fermi-level density of states: 1.4488 states/eV/atom
- ΔE to the lowest computed polymorph: 792 meV/atom
- Formation enthalpy at 0 K: 2.7 eV/f.u.
- Size of the total moment: 0.00 μB per formula unit

=====

[4]
The following is a DFT calculation (PBE) of an optimized crystal structure of Rb2Bi2F.

a = 7.240 Å, b = 7.240 Å, c = 8.549 Å
α = 90.00°, β = 90.00°, γ = 90.00°
Space group I4/mmm (No. 139)
Symmetry-distinct sites (fractional):
Rb 0.000 0.500 0.250 x4
Bi 0.000 0.000 0.167 x4
F 0.000 0.000 0.500 x2

Properties
- Formation energy (no corrections): -0.554 eV/atom
- Fermi-level density of states: 0.8892 states/eV/atom
- Size of the total moment: 0.00 μB per formula unit

=====

> Fermi-level density of states of number 3 (NaYHf)?

1.4488 states/eV/atom